Crystalline DyErThCd at its relaxed geometry, computed with GGA-PBE.

It has space group F-43m (No. 216), with a = 7.723 Å, b = 7.723 Å, c = 7.723 Å, α = 90.00°, β = 90.00° and γ = 90.00°. The asymmetric unit holds Dy at (0.000, 0.000, 0.000), Er at (0.000, 0.000, 0.500), Th at (0.250, 0.250, 0.250) and Cd at (0.250, 0.250, 0.750).

Its distance to the lowest polymorph of the same formula is 0.272 eV/atom.



Crystalline DyEr2Tl2Cd2 at its relaxed geometry, computed with GGA-PBE.

It has space group R-3m (No. 166, hexagonal axes), with a = 5.0092 Å, b = 5.0092 Å, c = 25.8034 Å, α = 90.00°, β = 90.00° and γ = 120.00°. The asymmetric unit holds Dy at (0.0000, 0.0000, 0.0000), Er at (0.0000, 0.0000, 0.1337), Tl at (0.0000, 0.0000, 0.2702) and Cd at (0.0000, 0.0000, 0.4311).



Crystalline DyErTmCd at its relaxed geometry, computed with GGA-PBE.

It has space group F-43m (No. 216), with a = 7.636 Å, b = 7.636 Å, c = 7.636 Å, α = 90.00°, β = 90.00° and γ = 90.00°. The asymmetric unit holds Dy at (0.000, 0.000, 0.000), Er at (0.000, 0.000, 0.500), Tm at (0.250, 0.250, 0.750) and Cd at (0.250, 0.250, 0.250).

Its distance to the lowest polymorph of the same formula is 0.119 eV/atom.



Crystalline DyErTmCd at its relaxed geometry, computed with GGA-PBE.

It has space group P4mm (No. 99), with a = 3.548 Å, b = 3.548 Å, c = 9.019 Å, α = 90.00°, β = 90.00° and γ = 90.00°. The asymmetric unit holds Dy at (0.000, 0.000, 0.000), Er at (0.000, 0.000, 0.539), Tm at (0.500, 0.500, 0.270) and Cd at (0.500, 0.500, 0.767).

Its distance to the lowest polymorph of the same formula is 0.000 eV/atom.



Sequential energy relative to the elements output: 108, -118, -22, -140 meV per atom